Record 1
The following is a DFT calculation (GGA-PBEsol) of a geometry-optimized In3BiRh structure.

For the calculated total energy, the calculation gives -4.266 eV/atom. For the total magnetic moment, the calculation gives 0.002 μB per formula unit. For the formation energy, the calculation gives 0.009 eV per atom.

Cell: 5.081 5.081 5.081 Å, 90.00 90.00 90.00°
Atoms (fractional coordinates):
1 In 0.000 0.000 0.500
2 In 0.000 0.500 0.000
3 In 0.500 0.000 0.000
4 Bi 0.500 0.500 0.500
5 Rh 0.000 0.000 0.000

=====

Record 2
The following is a DFT calculation (GGA-PBEsol) of a geometry-optimized InBiRu2 structure.

For the calculated total energy, the calculation gives -6.652 eV/atom. For the total magnetic moment, the calculation gives 0.000 μB per formula unit. For the formation energy, the calculation gives 0.252 eV per atom.

Cell: 4.598 4.598 4.598 Å, 60.00 60.00 60.00°
Atoms (fractional coordinates):
1 In 0.000 0.000 0.000
2 Bi 0.500 0.500 0.500
3 Ru 0.250 0.250 0.250
4 Ru 0.750 0.750 0.750

=====

Record 3
The following is a DFT calculation (GGA-PBEsol) of a geometry-optimized InBiRuSe2 structure.

For the calculated total energy, the calculation gives -4.751 eV/atom. For the total magnetic moment, the calculation gives 0.000 μB per formula unit. The value obtained for the formation energy without anion corrections is 277 meV/atom.

Cell: 4.740 4.740 5.314 Å, 90.00 90.00 90.00°
Atoms (fractional coordinates):
1 In 0.000 0.000 0.000
2 Bi 0.500 0.500 0.000
3 Ru 0.000 0.000 0.500
4 Se 0.000 0.500 0.500
5 Se 0.500 0.000 0.500

=====

Record 4
The following is a DFT calculation (GGA-PBEsol) of a geometry-optimized InBiRuW2 structure.

For the calculated total energy, the calculation gives -6.476 eV/atom. For the total magnetic moment, the calculation gives 1.431 μB per formula unit. For the formation energy, the calculation gives 2.535 eV per atom.

Cell: 4.900 4.900 4.769 Å, 90.00 90.00 90.00°
Atoms (fractional coordinates):
1 In 0.000 0.000 0.000
2 Bi 0.500 0.500 0.500
3 Ru 0.000 0.000 0.500
4 W 0.000 0.500 0.000
5 W 0.500 0.000 0.000